Here is crystalline NbTcGe at its relaxed geometry from Alexandria via LeMat-Bulk. Energies are from GGA-PBE.

Lattice parameters (Å, degrees): 4.402 4.402 2.889 90.00 90.00 120.00
Positions (direct):
Nb 0.000 0.000 0.000
Tc 0.667 0.333 0.594
Ge 0.333 0.667 0.546

Summary:
Magnetization in μB/f.u.: 0.00
Calculated density in g/cm³: 9.03
VASP energy in eV/cell: -25.64
Symmetry: P3m1, No. 156
Offset from the most stable computed form in meV per atom: 198


Here is crystalline NbTcGe at its relaxed geometry from Alexandria via LeMat-Bulk. Energies are from GGA-PBE.

Lattice parameters (Å, degrees): 5.373 5.373 6.937 116.54 116.54 33.14
Positions (direct):
Nb 0.068 0.068 0.308
Nb 0.932 0.932 0.692
Tc 0.355 0.355 0.961
Tc 0.645 0.645 0.039
Ge 0.341 0.341 0.326
Ge 0.659 0.659 0.674

Summary:
Magnetization in μB/f.u.: 0.00
Calculated density in g/cm³: 9.04
VASP energy in eV/cell: -51.54
Symmetry: C2/m, No. 12
Offset from the most stable computed form in meV per atom: 156


Here is crystalline NbTcGe3 at its relaxed geometry from Alexandria via LeMat-Bulk. Energies are from GGA-PBE.

Lattice parameters (Å, degrees): 8.578 8.578 4.876 96.94 96.94 78.56
Positions (direct):
Nb 0.144 0.339 0.067
Nb 0.339 0.144 0.567
Nb 0.661 0.856 0.433
Nb 0.856 0.661 0.933
Tc 0.269 0.731 0.750
Tc 0.452 0.548 0.250
Tc 0.548 0.452 0.750
Tc 0.731 0.269 0.250
Ge 0.034 0.152 0.358
Ge 0.140 0.655 0.214
Ge 0.152 0.034 0.858
Ge 0.244 0.450 0.597
Ge 0.345 0.860 0.286
Ge 0.450 0.244 0.097
Ge 0.550 0.756 0.903
Ge 0.655 0.140 0.714
Ge 0.756 0.550 0.403
Ge 0.848 0.966 0.142
Ge 0.860 0.345 0.786
Ge 0.966 0.848 0.642

Summary:
Magnetization in μB/f.u.: 0.00
Calculated density in g/cm³: 7.82
VASP energy in eV/cell: -136.83
Symmetry: C2/c, No. 15
Offset from the most stable computed form in meV per atom: 0


Here is crystalline NbTcGe at its relaxed geometry from Alexandria via LeMat-Bulk. Energies are from GGA-PBE.

Lattice parameters (Å, degrees): 5.243 5.243 5.317 116.45 116.45 48.16
Positions (direct):
Nb 0.002 0.002 0.254
Nb 0.998 0.998 0.746
Tc 0.327 0.327 0.373
Tc 0.673 0.673 0.627
Ge 0.328 0.328 0.868
Ge 0.672 0.672 0.132

Summary:
Magnetization in μB/f.u.: 0.00
Calculated density in g/cm³: 9.21
VASP energy in eV/cell: -51.26
Symmetry: C2/m, No. 12
Offset from the most stable computed form in meV per atom: 202


Here is crystalline ThNbTcGe2 at its relaxed geometry from Alexandria via LeMat-Bulk. Energies are from GGA-PBE.

Lattice parameters (Å, degrees): 6.493 6.493 6.493 143.03 143.03 53.29
Positions (direct):
Th 0.000 0.000 0.000
Nb 0.750 0.250 0.500
Tc 0.250 0.750 0.500
Ge 0.389 0.389 0.000
Ge 0.611 0.611 0.000

Summary:
Magnetization in μB/f.u.: 0.00
Calculated density in g/cm³: 9.59
VASP energy in eV/cell: -39.56
Symmetry: I-4m2, No. 119


Here is crystalline NbVTcGe at its relaxed geometry from Alexandria via LeMat-Bulk. Energies are from GGA-PBE.

Lattice parameters (Å, degrees): 4.419 4.419 4.419 60.00 60.00 60.00
Positions (direct):
Nb 0.000 0.000 0.000
V 0.250 0.250 0.250
Tc 0.750 0.750 0.750
Ge 0.500 0.500 0.500

Summary:
Magnetization in μB/f.u.: 2.30
Calculated density in g/cm³: 8.56
VASP energy in eV/cell: -35.02
Symmetry: F-43m, No. 216


Here is crystalline NbGe2Te at its relaxed geometry from Alexandria via LeMat-Bulk. Energies are from GGA-PBE.

Lattice parameters (Å, degrees): 7.581 7.581 7.581 131.68 131.68 70.74
Positions (direct):
Nb 0.000 0.000 0.000
Nb 0.750 0.250 0.500
Ge 0.089 0.625 0.964
Ge 0.375 0.339 0.464
Ge 0.661 0.125 0.036
Ge 0.875 0.911 0.536
Te 0.250 0.750 0.500
Te 0.500 0.500 0.000

Summary:
Magnetization in μB/f.u.: 0.95
Calculated density in g/cm³: 5.10
VASP energy in eV/cell: -40.20
Formation energy without anion corrections in eV/atom: 0.59
Symmetry: I-42d, No. 122


Here is crystalline NbGeTe3 at its relaxed geometry from Alexandria via LeMat-Bulk. Energies are from GGA-PBE.

Lattice parameters (Å, degrees): 5.424 5.424 5.424 90.00 90.00 90.00
Positions (direct):
Nb 0.000 0.000 0.000
Ge 0.500 0.500 0.500
Te 0.000 0.000 0.500
Te 0.000 0.500 0.000
Te 0.500 0.000 0.000

Summary:
Magnetization in μB/f.u.: 1.16
Calculated density in g/cm³: 5.71
VASP energy in eV/cell: -22.07
Formation energy without anion corrections in eV/atom: 0.41
Symmetry: Pm-3m, No. 221


Here is crystalline NbGeTe2 at its relaxed geometry from Alexandria via LeMat-Bulk. Energies are from GGA-PBE.

Lattice parameters (Å, degrees): 9.266 9.266 9.266 23.42 23.42 23.42
Positions (direct):
Nb 0.000 0.000 0.000
Ge 0.500 0.500 0.500
Te 0.099 0.099 0.099
Te 0.901 0.901 0.901

Summary:
Magnetization in μB/f.u.: 0.59
Calculated density in g/cm³: 6.33
VASP energy in eV/cell: -18.38
Formation energy without anion corrections in eV/atom: 0.65
Symmetry: R-3m, No. 166


Here is crystalline NbGe2Te8 at its relaxed geometry from Alexandria via LeMat-Bulk. Energies are from GGA-PBE.

Lattice parameters (Å, degrees): 7.602 7.602 7.577 90.00 90.00 120.00
Positions (direct):
Nb 0.000 0.000 0.000
Ge 0.333 0.667 0.073
Ge 0.667 0.333 0.927
Te 0.157 0.315 0.242
Te 0.157 0.843 0.242
Te 0.315 0.157 0.758
Te 0.333 0.667 0.736
Te 0.667 0.333 0.264
Te 0.685 0.843 0.242
Te 0.843 0.157 0.758
Te 0.843 0.685 0.758

Summary:
Magnetization in μB/f.u.: 0.00
Calculated density in g/cm³: 5.51
VASP energy in eV/cell: -44.01
Formation energy without anion corrections in eV/atom: 0.04
Symmetry: P-3m1, No. 164


Here is crystalline NbGeTe6 at its relaxed geometry from Alexandria via LeMat-Bulk. Energies are from GGA-PBE.

Lattice parameters (Å, degrees): 6.741 6.741 6.960 100.69 100.69 118.41
Positions (direct):
Nb 0.000 0.000 0.000
Ge 0.500 0.500 0.500
Te 0.107 0.451 0.194
Te 0.166 0.166 0.686
Te 0.451 0.107 0.194
Te 0.549 0.893 0.806
Te 0.834 0.834 0.314
Te 0.893 0.549 0.806

Summary:
Magnetization in μB/f.u.: 0.00
Calculated density in g/cm³: 5.96
VASP energy in eV/cell: -33.29
Formation energy without anion corrections in eV/atom: 0.03
Symmetry: C2/m, No. 12


Here is crystalline NbGeTe2 at its relaxed geometry from Alexandria via LeMat-Bulk. Energies are from GGA-PBE.

Lattice parameters (Å, degrees): 7.645 7.645 7.645 127.63 127.63 77.22
Positions (direct):
Nb 0.000 0.000 0.000
Nb 0.750 0.250 0.500
Ge 0.250 0.750 0.500
Ge 0.500 0.500 0.000
Te 0.107 0.625 0.982
Te 0.375 0.357 0.482
Te 0.643 0.125 0.018
Te 0.875 0.893 0.518

Summary:
Magnetization in μB/f.u.: 2.09
Calculated density in g/cm³: 5.14
VASP energy in eV/cell: -39.00
Formation energy without anion corrections in eV/atom: 0.37
Symmetry: I-42d, No. 122


Here is crystalline Nb2Ge2Te at its relaxed geometry from Alexandria via LeMat-Bulk. Energies are from GGA-PBE.

Lattice parameters (Å, degrees): 7.439 7.439 3.462 90.00 90.00 90.00
Positions (direct):
Nb 0.158 0.342 0.000
Nb 0.342 0.842 0.000
Nb 0.658 0.158 0.000
Nb 0.842 0.658 0.000
Ge 0.131 0.631 0.500
Ge 0.369 0.131 0.500
Ge 0.631 0.869 0.500
Ge 0.869 0.369 0.500
Te 0.000 0.000 0.000
Te 0.500 0.500 0.000

Summary:
Magnetization in μB/f.u.: 0.00
Calculated density in g/cm³: 7.95
VASP energy in eV/cell: -66.65
Formation energy without anion corrections in eV/atom: -0.16
Symmetry: P4/mbm, No. 127
Offset from the most stable computed form in meV per atom: 0


Here is crystalline Nb2Ge2Te at its relaxed geometry from Alexandria via LeMat-Bulk. Energies are from GGA-PBE.

Lattice parameters (Å, degrees): 7.586 7.586 7.586 152.16 152.16 39.79
Positions (direct):
Nb 0.108 0.108 0.000
Nb 0.892 0.892 0.000
Ge 0.250 0.750 0.500
Ge 0.750 0.250 0.500
Te 0.500 0.500 0.000

Summary:
Magnetization in μB/f.u.: 0.00
Calculated density in g/cm³: 8.01
VASP energy in eV/cell: -33.29
Formation energy without anion corrections in eV/atom: -0.15
Symmetry: I4/mmm, No. 139
Offset from the most stable computed form in meV per atom: 7


Here is crystalline NbGeTe2 at its relaxed geometry from Alexandria via LeMat-Bulk. Energies are from GGA-PBE.

Lattice parameters (Å, degrees): 10.010 10.010 10.010 20.41 20.41 20.41
Positions (direct):
Nb 0.000 0.000 0.000
Ge 0.500 0.500 0.500
Te 0.398 0.398 0.398
Te 0.602 0.602 0.602

Summary:
Magnetization in μB/f.u.: 0.00
Calculated density in g/cm³: 6.54
VASP energy in eV/cell: -21.25
Formation energy without anion corrections in eV/atom: -0.07
Symmetry: R-3m, No. 166


Here is crystalline Zr2NbGeTe at its relaxed geometry from Alexandria via LeMat-Bulk. Energies are from GGA-PBE.

Lattice parameters (Å, degrees): 5.267 5.267 5.015 90.00 90.00 90.00
Positions (direct):
Zr 0.000 0.500 0.000
Zr 0.500 0.000 0.000
Nb 0.000 0.000 0.500
Ge 0.500 0.500 0.500
Te 0.000 0.000 0.000

Summary:
Magnetization in μB/f.u.: 1.05
Calculated density in g/cm³: 5.68
VASP energy in eV/cell: -30.18
Formation energy without anion corrections in eV/atom: 0.95
Symmetry: P4/mmm, No. 123


Here is crystalline ThNb4Ge4 at its relaxed geometry from Alexandria via LeMat-Bulk. Energies are from GGA-PBE.

Lattice parameters (Å, degrees): 8.582 8.582 5.031 90.00 90.00 90.00
Positions (direct):
Th 0.250 0.250 0.250
Th 0.750 0.750 0.750
Nb 0.121 0.859 0.657
Nb 0.141 0.621 0.157
Nb 0.359 0.879 0.157
Nb 0.379 0.641 0.657
Nb 0.621 0.359 0.343
Nb 0.641 0.121 0.843
Nb 0.859 0.379 0.843
Nb 0.879 0.141 0.343
Ge 0.027 0.894 0.170
Ge 0.106 0.527 0.670
Ge 0.394 0.973 0.670
Ge 0.473 0.606 0.170
Ge 0.527 0.394 0.830
Ge 0.606 0.027 0.330
Ge 0.894 0.473 0.330
Ge 0.973 0.106 0.830

Summary:
Magnetization in μB/f.u.: 0.00
Calculated density in g/cm³: 8.01
VASP energy in eV/cell: -136.11
Symmetry: P4_2/n, No. 86


Here is crystalline Th2Nb3Ge4 at its relaxed geometry from Alexandria via LeMat-Bulk. Energies are from GGA-PBE.

Lattice parameters (Å, degrees): 7.328 7.318 7.223 90.00 109.68 90.00
Positions (direct):
Th 0.190 0.172 0.058
Th 0.190 0.328 0.558
Th 0.810 0.672 0.442
Th 0.810 0.828 0.942
Nb 0.253 0.664 0.247
Nb 0.253 0.836 0.747
Nb 0.500 0.000 0.500
Nb 0.500 0.500 0.000
Nb 0.747 0.164 0.253
Nb 0.747 0.336 0.753
Ge 0.091 0.547 0.859
Ge 0.091 0.953 0.359
Ge 0.495 0.633 0.632
Ge 0.495 0.867 0.132
Ge 0.505 0.133 0.868
Ge 0.505 0.367 0.368
Ge 0.909 0.047 0.641
Ge 0.909 0.453 0.141

Summary:
Magnetization in μB/f.u.: 0.00
Calculated density in g/cm³: 9.41
VASP energy in eV/cell: -139.04
Symmetry: P2_1/c, No. 14


Here is crystalline Th3NbGe4 at its relaxed geometry from Alexandria via LeMat-Bulk. Energies are from GGA-PBE.

Lattice parameters (Å, degrees): 5.907 11.730 5.907 90.00 90.00 90.00
Positions (direct):
Th 0.250 0.000 0.250
Th 0.250 0.250 0.750
Th 0.250 0.500 0.250
Th 0.750 0.000 0.750
Th 0.750 0.500 0.750
Th 0.750 0.750 0.250
Nb 0.250 0.750 0.749
Nb 0.750 0.250 0.251
Ge 0.250 0.250 0.250
Ge 0.250 0.516 0.750
Ge 0.250 0.750 0.250
Ge 0.250 0.984 0.750
Ge 0.750 0.016 0.250
Ge 0.750 0.250 0.750
Ge 0.750 0.484 0.250
Ge 0.750 0.750 0.750

Summary:
Magnetization in μB/f.u.: 0.00
Calculated density in g/cm³: 8.76
VASP energy in eV/cell: -109.26
Symmetry: Pmmn, No. 59


Here is crystalline ThNb2Ge2 at its relaxed geometry from Alexandria via LeMat-Bulk. Energies are from GGA-PBE.

Lattice parameters (Å, degrees): 4.216 4.216 14.817 90.00 90.00 120.00
Positions (direct):
Th 0.000 0.000 0.250
Th 0.000 0.000 0.750
Nb 0.333 0.667 0.058
Nb 0.333 0.667 0.442
Nb 0.667 0.333 0.558
Nb 0.667 0.333 0.942
Ge 0.333 0.667 0.626
Ge 0.333 0.667 0.874
Ge 0.667 0.333 0.126
Ge 0.667 0.333 0.374

Summary:
Magnetization in μB/f.u.: 0.00
Calculated density in g/cm³: 8.20
VASP energy in eV/cell: -76.74
Symmetry: P6_3/mmc, No. 194
Offset from the most stable computed form in meV per atom: 272


Here is crystalline ThNb6Ge6 at its relaxed geometry from Alexandria via LeMat-Bulk. Energies are from GGA-PBE.

Lattice parameters (Å, degrees): 7.181 7.181 7.181 133.52 104.01 93.97
Positions (direct):
Th 0.000 0.000 0.000
Nb 0.000 0.000 0.500
Nb 0.000 0.500 0.000
Nb 0.257 0.500 0.757
Nb 0.500 0.000 0.000
Nb 0.500 0.500 0.500
Nb 0.743 0.500 0.243
Ge 0.162 0.662 0.500
Ge 0.329 0.329 0.000
Ge 0.351 0.000 0.351
Ge 0.649 0.000 0.649
Ge 0.671 0.671 0.000
Ge 0.838 0.338 0.500

Summary:
Magnetization in μB/f.u.: 0.00
Calculated density in g/cm³: 8.29
VASP energy in eV/cell: -101.21
Symmetry: Immm, No. 71


Here is crystalline Th5Nb2Ge5 at its relaxed geometry from Alexandria via LeMat-Bulk. Energies are from GGA-PBE.

Lattice parameters (Å, degrees): 7.202 7.202 11.631 112.01 112.01 33.78
Positions (direct):
Th 0.000 0.000 0.000
Th 0.164 0.164 0.545
Th 0.229 0.229 0.839
Th 0.771 0.771 0.161
Th 0.836 0.836 0.455
Nb 0.451 0.451 0.697
Nb 0.549 0.549 0.303
Ge 0.165 0.165 0.281
Ge 0.391 0.391 0.088
Ge 0.500 0.500 0.500
Ge 0.609 0.609 0.912
Ge 0.835 0.835 0.719

Summary:
Magnetization in μB/f.u.: 0.00
Calculated density in g/cm³: 9.20
VASP energy in eV/cell: -85.12
Symmetry: C2/m, No. 12


Here is crystalline ThNb2Ge2 at its relaxed geometry from Alexandria via LeMat-Bulk. Energies are from GGA-PBE.

Lattice parameters (Å, degrees): 6.681 6.681 6.681 143.91 143.91 51.97
Positions (direct):
Th 0.000 0.000 0.000
Nb 0.250 0.750 0.500
Nb 0.750 0.250 0.500
Ge 0.394 0.394 0.000
Ge 0.606 0.606 0.000

Summary:
Magnetization in μB/f.u.: 0.00
Calculated density in g/cm³: 9.09
VASP energy in eV/cell: -39.73
Symmetry: I4/mmm, No. 139
Offset from the most stable computed form in meV per atom: 0